VASP calculation (GGA-PBE) on a relaxed RbPm2Pu3Te6 crystal.

a = 19.781 Å, b = 4.480 Å, c = 9.227 Å
α = 90.00°, β = 102.78°, γ = 90.00°
Space group C2/m (No. 12)
Asymmetric unit:
Rb 0.000 0.000 0.000
Pm 0.169 0.500 0.340
Pu 0.000 0.000 0.500
Pu 0.164 0.500 0.834
Te 0.003 0.500 0.273
Te 0.166 0.000 0.588
Te 0.175 0.000 0.090

Output
Energy relative to the elements, uncorrected, kJ/mol of atoms: -113
Total energy, eV per atom: -7.193
Density of states at the Fermi level, states/eV per cell: 88.2
Total moment, μB per atom: 0.507

***

VASP calculation (GGA-PBE) on a relaxed Rb3Pm2PuTe6 crystal.

a = 8.017 Å, b = 13.887 Å, c = 8.946 Å
α = 90.00°, β = 107.37°, γ = 90.00°
Space group C2/m (No. 12)
Asymmetric unit:
Rb 0.000 0.000 0.000
Rb 0.000 0.332 0.000
Pm 0.000 0.166 0.500
Pu 0.000 0.500 0.500
Te 0.233 0.334 0.702
Te 0.236 0.000 0.703

Output
Energy relative to the elements, uncorrected, kJ/mol of atoms: -125
Total energy, eV per atom: -5.093
Density of states at the Fermi level, states/eV per cell: 28.5
Total moment, μB per atom: 0.417